An optimized crystal structure of AlZn2CdAu4, computed with PBE-GGA.

Lattice parameters (Å, degrees): 8.0382 8.0382 8.0382 33.06 33.06 33.06
Fractional coordinates of all 8 atoms:
Al1 0.0000 0.0000 0.0000
Zn1 0.2445 0.2445 0.2445
Zn2 0.7555 0.7555 0.7555
Cd1 0.5000 0.5000 0.5000
Au1 0.1150 0.1150 0.1150
Au2 0.3675 0.3675 0.3675
Au3 0.6325 0.6325 0.6325
Au4 0.8850 0.8850 0.8850

E ... -2.760 eV/atom
N(E_F) ... 0.27 states/eV per atom
V ... 17.19 A^3/atom